1.
{"formula": "MgCr2W", "functional": "meta-GGA SCAN", "state": "single point on PBEsol structure", "cell": [[-0.712, 2.419, -0.471], [-4.488, -2.137, 0.634], [2.666, 0.661, 4.191]], "species": ["Cr", "Cr", "W", "Mg"], "frac_coords": [[0.000, 0.000, 0.500], [0.000, 0.500, 0.000], [0.500, 0.500, 0.500], [0.500, 0.000, 0.000]], "spacegroup": "C2/m", "formation_energy_ev_per_atom": 0.51, "volume_a3_per_atom": 13.74, "magnetic_moment_mub_per_atom": 0.000, "total_energy_ev_per_atom": -27.35, "relative_energy_ev_per_atom": 0.253}

***

2.
{"formula": "Y5Cd24", "functional": "meta-GGA SCAN", "state": "single point on PBEsol structure", "cell": [[-4.087, 2.381, -8.072], [-6.568, -1.585, 6.472], [5.569, 6.958, 2.847]], "species": ["Cd", "Cd", "Cd", "Cd", "Cd", "Cd", "Cd", "Cd", "Cd", "Cd", "Cd", "Cd", "Cd", "Cd", "Cd", "Cd", "Cd", "Cd", "Cd", "Cd", "Cd", "Cd", "Cd", "Cd", "Y", "Y", "Y", "Y", "Y"], "frac_coords": [[0.630, 0.821, 0.630], [0.675, 0.000, 0.385], [0.675, 0.385, 0.000], [0.385, 0.675, 0.000], [0.808, 0.179, 0.808], [0.615, 0.290, 0.615], [0.179, 0.808, 0.808], [0.290, 0.615, 0.615], [0.370, 0.000, 0.192], [0.630, 0.630, 0.821], [0.000, 0.675, 0.385], [0.000, 0.370, 0.192], [0.710, 0.325, 0.325], [0.615, 0.615, 0.290], [0.821, 0.630, 0.630], [0.192, 0.370, 0.000], [0.385, 0.000, 0.675], [0.325, 0.710, 0.325], [0.000, 0.385, 0.675], [0.000, 0.192, 0.370], [0.808, 0.808, 0.179], [0.370, 0.192, 0.000], [0.192, 0.000, 0.370], [0.325, 0.325, 0.710], [0.618, 0.000, 0.000], [0.382, 0.382, 0.382], [0.000, 0.618, 0.000], [0.000, 0.000, 0.618], [0.000, 0.000, 0.000]], "spacegroup": "I-43m", "formation_energy_ev_per_atom": -0.27, "volume_a3_per_atom": 21.74, "magnetic_moment_mub_per_atom": 0.000, "total_energy_ev_per_atom": -30.24}

***

Please write out number 2 again, unchanged.
{"formula": "Y5Cd24", "functional": "meta-GGA SCAN", "state": "single point on PBEsol structure", "cell": [[-4.087, 2.381, -8.072], [-6.568, -1.585, 6.472], [5.569, 6.958, 2.847]], "species": ["Cd", "Cd", "Cd", "Cd", "Cd", "Cd", "Cd", "Cd", "Cd", "Cd", "Cd", "Cd", "Cd", "Cd", "Cd", "Cd", "Cd", "Cd", "Cd", "Cd", "Cd", "Cd", "Cd", "Cd", "Y", "Y", "Y", "Y", "Y"], "frac_coords": [[0.630, 0.821, 0.630], [0.675, 0.000, 0.385], [0.675, 0.385, 0.000], [0.385, 0.675, 0.000], [0.808, 0.179, 0.808], [0.615, 0.290, 0.615], [0.179, 0.808, 0.808], [0.290, 0.615, 0.615], [0.370, 0.000, 0.192], [0.630, 0.630, 0.821], [0.000, 0.675, 0.385], [0.000, 0.370, 0.192], [0.710, 0.325, 0.325], [0.615, 0.615, 0.290], [0.821, 0.630, 0.630], [0.192, 0.370, 0.000], [0.385, 0.000, 0.675], [0.325, 0.710, 0.325], [0.000, 0.385, 0.675], [0.000, 0.192, 0.370], [0.808, 0.808, 0.179], [0.370, 0.192, 0.000], [0.192, 0.000, 0.370], [0.325, 0.325, 0.710], [0.618, 0.000, 0.000], [0.382, 0.382, 0.382], [0.000, 0.618, 0.000], [0.000, 0.000, 0.618], [0.000, 0.000, 0.000]], "spacegroup": "I-43m", "formation_energy_ev_per_atom": -0.27, "volume_a3_per_atom": 21.74, "magnetic_moment_mub_per_atom": 0.000, "total_energy_ev_per_atom": -30.24}